[1]
La2Sm3Ge2 | GGA-PBE | optimized geometry

Computed properties:
Magnetic moment in μB per cell: 0.0
Total energy in eV/atom: -5.275
DFT formation energy in meV/atom: -525.0

Cell: 4.318 6.440 8.819 Å, 67.28 75.83 70.41°
Fractional positions:
Ge 0.836 0.116 0.211
La 0.847 0.495 0.810
Sm 0.500 0.000 0.000
Sm 0.370 0.815 0.445
Sm 0.630 0.185 0.555
Ge 0.164 0.884 0.789
La 0.153 0.505 0.190

=====

[2]
Hg5W3 | GGA-PBE | optimized geometry

Computed properties:
Magnetic moment in μB per cell: 0.0
Total energy in eV/atom: -4.219
DFT formation energy in meV/atom: 827.2

Cell: 6.023 6.023 4.290 Å, 90.00 90.00 97.56°
Fractional positions:
W 0.500 0.500 0.000
Hg 0.000 0.000 0.000
W 0.293 0.293 0.500
W 0.707 0.707 0.500
Hg 0.000 0.500 0.000
Hg 0.500 0.000 0.000
Hg 0.232 0.768 0.500
Hg 0.768 0.232 0.500